Entry P
Material: TbErAgAu
Method: DFT, PBE-GGA
State: optimized geometry

a b c (Å): 3.590 3.590 7.285
angles (deg): 90.00 90.00 90.00
Space group P4mm (No. 99)
One atom of each set of equivalent atoms:
Tb 0.000 0.000 0.000
Er 0.000 0.000 0.511
Ag 0.500 0.500 0.263
Au 0.500 0.500 0.747

Computed properties:
- DOS(E_F) (states/eV/f.u.) = 2.4


Entry Q
Material: TbErAgAu
Method: DFT, PBE-GGA
State: optimized geometry

a b c (Å): 7.213 7.213 7.213
angles (deg): 90.00 90.00 90.00
Space group F-43m (No. 216)
One atom of each set of equivalent atoms:
Tb 0.000 0.000 0.000
Er 0.000 0.000 0.500
Ag 0.250 0.250 0.250
Au 0.250 0.250 0.750

Computed properties:
- DOS(E_F) (states/eV/f.u.) = 2.7


Which of them is the most stable? Correct choice: entry P.


Entry P
Material: AgAuF2
Method: DFT, PBE-GGA
State: optimized geometry

a b c (Å): 3.1844 3.1844 22.4249
angles (deg): 90.00 90.00 120.00
Space group R-3m (No. 166, hexagonal axes)
One atom of each set of equivalent atoms:
Ag 0.0000 0.0000 0.0000
Au 0.0000 0.0000 0.5000
F 0.0000 0.0000 0.4066

Computed properties:
- DOS(E_F) (states/eV/f.u.) = 1.1


Entry Q
Material: AgAuF2
Method: DFT, PBE-GGA
State: optimized geometry

a b c (Å): 6.109 6.109 6.109
angles (deg): 90.00 90.00 90.00
Space group Fm-3m (No. 225)
One atom of each set of equivalent atoms:
Ag 0.000 0.000 0.000
Au 0.000 0.000 0.500
F 0.250 0.250 0.250

Computed properties:
- DOS(E_F) (states/eV/f.u.) = 1.3


Which of them is the most stable? Correct choice: entry P.